A relaxed structure of Rb8Cd2Hg, computed with GGA-PBE.

The density of states at the Fermi level is 12.74 states/eV per cell. As for the volume: 1338.59 Å³/cell. The calculation puts the energy at -0.03348 hartree per atom.

The space group is Immm (No. 71) and the conventional cell measures 6.291, 11.215 and 18.972 Å, with angles of 90.00, 90.00 and 90.00 degrees. The asymmetric unit holds Rb at (0.000, 0.000, 0.136), Rb at (0.000, 0.217, 0.338), Rb at (0.000, 0.319, 0.000), Cd at (0.000, 0.500, 0.195) and Hg at (0.000, 0.500, 0.500).


A relaxed structure of VZn3N, computed with GGA-PBE.

As for the excess energy over the best structure of this formula in the dataset: 1.129 eV/atom. The uncorrected formation energy is 1.7948 eV/atom. The density of states at the Fermi level is 3.77 states/eV per cell. As for the volume: 134.38 Å³/cell. The calculation puts the energy at -0.09034 hartree per atom.

The space group is Pm-3m (No. 221) and the conventional cell measures 5.122, 5.122 and 5.122 Å, with angles of 90.00, 90.00 and 90.00 degrees. The asymmetric unit holds V at (0.000, 0.000, 0.000), Zn at (0.000, 0.000, 0.500) and N at (0.500, 0.500, 0.500).


A relaxed structure of Rb2PrScTe4, computed with GGA-PBE.

The uncorrected formation energy is -1.3051 eV/atom. As for the volume: 302.19 Å³/cell. The calculation puts the energy at -0.16562 hartree per atom.

The space group is P2/m (No. 10) and the conventional cell measures 7.836, 4.515 and 8.928 Å, with angles of 90.00, 106.92 and 90.00 degrees. The asymmetric unit holds Rb at (0.000, 0.000, 0.000), Rb at (0.500, 0.500, 0.000), Pr at (0.000, 0.500, 0.500), Sc at (0.500, 0.000, 0.500), Te at (0.253, 0.000, 0.702) and Te at (0.287, 0.500, 0.307).


A relaxed structure of VMo3Br, computed with GGA-PBE.

As for the excess energy over the best structure of this formula in the dataset: 0.034 eV/atom. The uncorrected formation energy is 1.6853 eV/atom. The density of states at the Fermi level is 6.52 states/eV per cell. As for the volume: 96.41 Å³/cell. The calculation puts the energy at -0.25620 hartree per atom.

The space group is Pm-3m (No. 221) and the conventional cell measures 4.585, 4.585 and 4.585 Å, with angles of 90.00, 90.00 and 90.00 degrees. The asymmetric unit holds V at (0.000, 0.000, 0.000), Mo at (0.000, 0.500, 0.500) and Br at (0.500, 0.500, 0.500).


A relaxed structure of Tl2CrCo, computed with GGA-PBE.

As for the excess energy over the best structure of this formula in the dataset: 0.107 eV/atom. The density of states at the Fermi level is 5.59 states/eV per cell. As for the volume: 157.50 Å³/cell. The calculation puts the energy at -0.17440 hartree per atom.

The space group is Amm2 (No. 38) and the conventional cell measures 3.896, 4.089 and 9.886 Å, with angles of 90.00, 90.00 and 90.00 degrees. The asymmetric unit holds Tl at (0.000, 0.000, 0.000), Tl at (0.500, 0.000, 0.286), Cr at (0.500, 0.000, 0.576) and Co at (0.000, 0.000, 0.711).


A relaxed structure of CsTeAuF2, computed with GGA-PBE.

The uncorrected formation energy is -1.1972 eV/atom. The density of states at the Fermi level is 1.71 states/eV per cell. As for the volume: 130.04 Å³/cell. The calculation puts the energy at -0.12496 hartree per atom.

The space group is P4/mmm (No. 123) and the conventional cell measures 4.913, 4.913 and 5.387 Å, with angles of 90.00, 90.00 and 90.00 degrees. The asymmetric unit holds Cs at (0.000, 0.000, 0.000), Te at (0.500, 0.500, 0.500), Au at (0.500, 0.500, 0.000) and F at (0.000, 0.500, 0.500).


Question: Look up the energy of the sixth one.
Answer: -0.12496 hartree per atom


Question: volume of number 5 (Tl2CrCo)?
Answer: 157.50 Å³/cell


Question: The highest energy belongs to which entry?
Answer: Rb8Cd2Hg


What did the fifth record say?
A relaxed structure of Tl2CrCo, computed with GGA-PBE.

As for the excess energy over the best structure of this formula in the dataset: 0.107 eV/atom. The density of states at the Fermi level is 5.59 states/eV per cell. As for the volume: 157.50 Å³/cell. The calculation puts the energy at -0.17440 hartree per atom.

The space group is Amm2 (No. 38) and the conventional cell measures 3.896, 4.089 and 9.886 Å, with angles of 90.00, 90.00 and 90.00 degrees. The asymmetric unit holds Tl at (0.000, 0.000, 0.000), Tl at (0.500, 0.000, 0.286), Cr at (0.500, 0.000, 0.576) and Co at (0.000, 0.000, 0.711).